Version i
# Y4Tl5, optimized geometry, DFT PBEsol
data_Y4Tl5
_symmetry_space_group_name_H-M 'P 63/m c m'
_symmetry_Int_Tables_number 193
_symmetry_space_group_name_Hall '-P 6c 2'
_cell_length_a 9.1929
_cell_length_b 9.1929
_cell_length_c 6.4430
_cell_angle_alpha 90.00
_cell_angle_beta 90.00
_cell_angle_gamma 120.00
loop_
_atom_site_label
_atom_site_type_symbol
_atom_site_fract_x
_atom_site_fract_y
_atom_site_fract_z
Y1 Y 0.0000 0.0000 0.0000
Y2 Y 0.0000 0.3692 0.2500
Tl1 Tl 0.0000 0.2984 0.7500
Tl2 Tl 0.3333 0.6667 0.0000
# M_tot ... 0.000 μB/f.u.


Version ii
# Y4Tl5, optimized geometry, DFT PBEsol
data_Y4Tl5
_symmetry_space_group_name_H-M 'I 4/m m m'
_symmetry_Int_Tables_number 139
_symmetry_space_group_name_Hall '-I 4 2'
_cell_length_a 10.292
_cell_length_b 10.292
_cell_length_c 4.517
_cell_angle_alpha 90.00
_cell_angle_beta 90.00
_cell_angle_gamma 90.00
loop_
_atom_site_label
_atom_site_type_symbol
_atom_site_fract_x
_atom_site_fract_y
_atom_site_fract_z
Y1 Y 0.000 0.312 0.000
Tl1 Tl 0.000 0.000 0.000
Tl2 Tl 0.171 0.171 0.500
# M_tot ... 0.000 μB/f.u.


Most stable = version i


Version i
# ZrTl2Zn, optimized geometry, DFT PBEsol
data_ZrTl2Zn
_symmetry_space_group_name_H-M 'I m m 2'
_symmetry_Int_Tables_number 44
_symmetry_space_group_name_Hall 'I 2 -2'
_cell_length_a 3.667
_cell_length_b 4.538
_cell_length_c 10.264
_cell_angle_alpha 90.00
_cell_angle_beta 90.00
_cell_angle_gamma 90.00
loop_
_atom_site_label
_atom_site_type_symbol
_atom_site_fract_x
_atom_site_fract_y
_atom_site_fract_z
Zr1 Zr 0.000 0.000 0.000
Tl1 Tl 0.000 0.000 0.543
Tl2 Tl 0.000 0.500 0.768
Zn1 Zn 0.000 0.500 0.279
# M_tot ... 0.000 μB/f.u.


Version ii
# ZrTl2Zn, optimized geometry, DFT PBEsol
data_ZrTl2Zn
_symmetry_space_group_name_H-M 'R -3 m'
_symmetry_Int_Tables_number 166
_symmetry_space_group_name_Hall '-R 3 2"'
_cell_length_a 3.2344
_cell_length_b 3.2344
_cell_length_c 28.7191
_cell_angle_alpha 90.00
_cell_angle_beta 90.00
_cell_angle_gamma 120.00
loop_
_atom_site_label
_atom_site_type_symbol
_atom_site_fract_x
_atom_site_fract_y
_atom_site_fract_z
Zr1 Zr 0.0000 0.0000 0.0000
Tl1 Tl 0.0000 0.0000 0.2450
Zn1 Zn 0.0000 0.0000 0.5000
# M_tot ... 0.000 μB/f.u.


Version iii
# ZrTl2Zn, optimized geometry, DFT PBEsol
data_ZrTl2Zn
_symmetry_space_group_name_H-M 'I -4 m 2'
_symmetry_Int_Tables_number 119
_symmetry_space_group_name_Hall 'I -4 -2'
_cell_length_a 4.168
_cell_length_b 4.168
_cell_length_c 9.703
_cell_angle_alpha 90.00
_cell_angle_beta 90.00
_cell_angle_gamma 90.00
loop_
_atom_site_label
_atom_site_type_symbol
_atom_site_fract_x
_atom_site_fract_y
_atom_site_fract_z
Zr1 Zr 0.000 0.000 0.000
Tl1 Tl 0.000 0.000 0.500
Tl2 Tl 0.000 0.500 0.250
Zn1 Zn 0.000 0.500 0.750
# M_tot ... 0.002 μB/f.u.


Version iv
# ZrTl2Zn, optimized geometry, DFT PBEsol
data_ZrTl2Zn
_symmetry_space_group_name_H-M 'P 4/m m m'
_symmetry_Int_Tables_number 123
_symmetry_space_group_name_Hall '-P 4 2'
_cell_length_a 4.379
_cell_length_b 4.379
_cell_length_c 4.284
_cell_angle_alpha 90.00
_cell_angle_beta 90.00
_cell_angle_gamma 90.00
loop_
_atom_site_label
_atom_site_type_symbol
_atom_site_fract_x
_atom_site_fract_y
_atom_site_fract_z
Zr1 Zr 0.000 0.000 0.000
Tl1 Tl 0.000 0.500 0.500
Zn1 Zn 0.500 0.500 0.000
# M_tot ... 0.000 μB/f.u.


Most stable = version iv


Version i
# Zr5Tl, optimized geometry, DFT PBEsol
data_Zr5Tl
_symmetry_space_group_name_H-M 'C 1 m 1'
_symmetry_Int_Tables_number 8
_symmetry_space_group_name_Hall 'C -2y'
_cell_length_a 11.560
_cell_length_b 3.140
_cell_length_c 7.594
_cell_angle_alpha 90.00
_cell_angle_beta 105.36
_cell_angle_gamma 90.00
loop_
_atom_site_label
_atom_site_type_symbol
_atom_site_fract_x
_atom_site_fract_y
_atom_site_fract_z
Zr1 Zr 0.000 0.000 0.000
Zr2 Zr 0.041 0.000 0.630
Zr3 Zr 0.150 0.500 0.339
Zr4 Zr 0.314 0.000 0.663
Zr5 Zr 0.383 0.000 0.290
Tl1 Tl 0.225 0.500 0.962
# M_tot ... 0.000 μB/f.u.


Version ii
# Zr5Tl, optimized geometry, DFT PBEsol
data_Zr5Tl
_symmetry_space_group_name_H-M 'P 4/m m m'
_symmetry_Int_Tables_number 123
_symmetry_space_group_name_Hall '-P 4 2'
_cell_length_a 3.135
_cell_length_b 3.135
_cell_length_c 13.554
_cell_angle_alpha 90.00
_cell_angle_beta 90.00
_cell_angle_gamma 90.00
loop_
_atom_site_label
_atom_site_type_symbol
_atom_site_fract_x
_atom_site_fract_y
_atom_site_fract_z
Zr1 Zr 0.000 0.000 0.000
Zr2 Zr 0.000 0.000 0.331
Zr3 Zr 0.500 0.500 0.164
Tl1 Tl 0.500 0.500 0.500
# M_tot ... 0.000 μB/f.u.


Version iii
# Zr5Tl, optimized geometry, DFT PBEsol
data_Zr5Tl
_symmetry_space_group_name_H-M 'C m m m'
_symmetry_Int_Tables_number 65
_symmetry_space_group_name_Hall '-C 2 2'
_cell_length_a 4.388
_cell_length_b 13.704
_cell_length_c 4.363
_cell_angle_alpha 90.00
_cell_angle_beta 90.00
_cell_angle_gamma 90.00
loop_
_atom_site_label
_atom_site_type_symbol
_atom_site_fract_x
_atom_site_fract_y
_atom_site_fract_z
Zr1 Zr 0.000 0.000 0.000
Zr2 Zr 0.000 0.167 0.500
Zr3 Zr 0.000 0.334 0.000
Tl1 Tl 0.000 0.500 0.500
# M_tot ... 0.000 μB/f.u.


Most stable = version iii


Version i
# Zr5Tl, optimized geometry, DFT PBEsol
data_Zr5Tl
_symmetry_space_group_name_H-M 'P 1 m 1'
_symmetry_Int_Tables_number 6
_symmetry_space_group_name_Hall 'P -2y'
_cell_length_a 3.176
_cell_length_b 5.108
_cell_length_c 8.275
_cell_angle_alpha 90.00
_cell_angle_beta 98.32
_cell_angle_gamma 90.00
loop_
_atom_site_label
_atom_site_type_symbol
_atom_site_fract_x
_atom_site_fract_y
_atom_site_fract_z
Zr1 Zr 0.000 0.000 0.000
Zr2 Zr 0.117 0.500 0.233
Zr3 Zr 0.479 0.500 0.907
Zr4 Zr 0.620 0.000 0.340
Zr5 Zr 0.879 0.500 0.577
Tl1 Tl 0.377 0.000 0.678
# M_tot ... 0.000 μB/f.u.


Version ii
# Zr5Tl, optimized geometry, DFT PBEsol
data_Zr5Tl
_symmetry_space_group_name_H-M 'P -6 2 m'
_symmetry_Int_Tables_number 189
_symmetry_space_group_name_Hall 'P -6 -2'
_cell_length_a 5.4501
_cell_length_b 5.4501
_cell_length_c 5.1616
_cell_angle_alpha 90.00
_cell_angle_beta 90.00
_cell_angle_gamma 120.00
loop_
_atom_site_label
_atom_site_type_symbol
_atom_site_fract_x
_atom_site_fract_y
_atom_site_fract_z
Zr1 Zr 0.0000 0.6741 0.0000
Zr2 Zr 0.3333 0.6667 0.5000
Tl1 Tl 0.0000 0.0000 0.5000
# M_tot ... 0.000 μB/f.u.


Most stable = version ii